Material: LiMn6O4F8
Method: DFT, GGA+U
State: relaxed

- D(E_F) (states/eV/cell) = 3.97
- total magnetic moment (μB/f.u.) = 27.000
- energy relative to the lowest polymorph listed for this composition (meV per atom) = 26

Unit cell a=5.069 b=5.873 c=8.023 alpha=84.82 beta=86.26 gamma=85.48
Sites, in units of the cell vectors:
Li 0.000 0.000 0.000
Mn 0.094 0.085 0.422
Mn 0.465 0.571 0.432
Mn 0.498 0.909 0.090
Mn 0.499 0.236 0.740
Mn 0.988 0.719 0.744
Mn 0.994 0.435 0.099
O 0.178 0.122 0.171
O 0.185 0.762 0.527
O 0.323 0.295 0.521
O 0.823 0.727 0.980
F 0.187 0.431 0.857
F 0.299 0.939 0.855
F 0.301 0.614 0.181
F 0.642 0.849 0.329
F 0.693 0.540 0.662
F 0.699 0.207 0.978
F 0.786 0.387 0.330
F 0.833 0.041 0.657